Entry 1:
Below is an optimized crystal structure of Sm2Ho3Th, with properties calculated at the PBE-GGA level.

Calculated values
The energy of formation from the pure elements comes out at 0.04 eV per atom. As for the calculated density: 8.825 g/cm³. The excess energy over the best structure of this formula in the dataset comes out at 0 meV per atom. Its symmetry is C2/m.

The structure in extended XYZ format:
```
12
Lattice="5.649 -2.527 0.000 5.649 2.527 0.000 -4.525 0.000 13.545" Properties=species:S:1:pos:R:3 pbc="T T T"
Sm -1.666 0.000 5.058
Sm -0.544 0.000 1.737
Sm 7.317 0.000 11.808
Sm 8.439 0.000 8.487
Ho 1.659 0.000 6.186
Ho 2.810 0.000 2.834
Ho -0.563 0.000 12.964
Ho 7.336 0.000 0.581
Ho 3.963 0.000 10.711
Ho 5.114 0.000 7.359
Th 0.543 0.000 9.602
Th 6.230 0.000 3.943
```



Entry 2:
Below is an optimized crystal structure of Sm12Ho6Th, with properties calculated at the PBE-GGA level.

Calculated values
The energy of formation from the pure elements comes out at 0.13 eV per atom. As for the calculated density: 7.782 g/cm³. The excess energy over the best structure of this formula in the dataset comes out at 0 meV per atom. Its symmetry is R-3m.

The structure in extended XYZ format:
```
19
Lattice="6.611 3.817 4.264 -6.611 3.817 4.264 0.000 -7.634 4.264" Properties=species:S:1:pos:R:3 pbc="T T T"
Sm -1.739 -4.622 4.264
Sm -4.873 0.805 4.264
Sm -2.754 -1.590 5.723
Sm 1.739 -4.622 4.264
Sm -3.134 3.817 4.264
Sm 0.000 -3.180 7.069
Sm -2.754 1.590 7.069
Sm 2.754 -1.590 5.723
Sm 0.000 3.180 5.723
Sm 4.873 0.805 4.264
Sm 3.134 3.817 4.264
Sm 2.754 1.590 7.069
Ho 0.000 -2.018 2.915
Ho -1.748 1.009 2.915
Ho 1.748 1.009 2.915
Ho -1.748 -1.009 9.877
Ho 1.748 -1.009 9.877
Ho 0.000 2.018 9.877
Th 0.000 0.000 0.000
```



Entry 3:
Below is an optimized crystal structure of SmHo5Th2, with properties calculated at the PBE-GGA level.

Calculated values
The energy of formation from the pure elements comes out at 0.10 eV per atom. As for the calculated density: 9.226 g/cm³. Its symmetry is Immm.

The structure in extended XYZ format:
```
16
Lattice="3.515 0.000 0.000 0.000 11.163 0.000 0.000 0.000 13.203" Properties=species:S:1:pos:R:3 pbc="T T T"
Sm 0.000 0.000 0.000
Sm 1.757 5.582 6.602
Ho 0.000 2.569 4.871
Ho 0.000 2.569 8.332
Ho 0.000 5.582 0.000
Ho 0.000 8.594 4.871
Ho 0.000 8.594 8.332
Ho 1.757 0.000 6.602
Ho 1.757 3.012 1.730
Ho 1.757 3.012 11.473
Ho 1.757 8.151 1.730
Ho 1.757 8.151 11.473
Th 0.000 5.582 3.440
Th 0.000 5.582 9.763
Th 1.757 0.000 3.162
Th 1.757 0.000 10.042
```